Pr6InPt | PBE-GGA | relaxed

```
Pr6InPt
1.0
7.080 0.000 0.000
0.000 10.649 0.000
-1.370 0.000 6.619
Pr In Pt
12 2 2
direct
0.133 0.206 0.267 Pr
0.133 0.794 0.267 Pr
0.234 0.500 0.096 Pr
0.266 0.000 0.904 Pr
0.367 0.294 0.733 Pr
0.367 0.706 0.733 Pr
0.633 0.294 0.267 Pr
0.633 0.706 0.267 Pr
0.734 0.000 0.096 Pr
0.766 0.500 0.904 Pr
0.867 0.206 0.733 Pr
0.867 0.794 0.733 Pr
0.000 0.500 0.500 In
0.500 0.000 0.500 In
0.000 0.000 0.500 Pt
0.500 0.500 0.500 Pt
```

- DOS(E_F): 16.6 states/eV per cell
- DFT formation energy: -322.4 meV/atom